# 1
A geometry-optimized RbInMo3 structure. Source: the Alexandria database, functional PBE.

VASP energy   -4.192 eV per atom
Formation enthalpy at 0 K   15.2 eV/f.u.
DOS(E_F)   1.7043 states/eV/atom

```
data_RbInMo3
_symmetry_space_group_name_H-M 'P 1'
_symmetry_Int_Tables_number 1
_cell_length_a 4.734
_cell_length_b 4.734
_cell_length_c 4.734
_cell_angle_alpha 90.00
_cell_angle_beta 90.00
_cell_angle_gamma 90.00
loop_
_symmetry_equiv_pos_as_xyz
'x,y,z'
loop_
_atom_site_label
_atom_site_type_symbol
_atom_site_fract_x
_atom_site_fract_y
_atom_site_fract_z
_atom_site_occupancy
Rb1 Rb 0.000 0.000 0.000 1
Mo1 Mo 0.000 0.500 0.000 1
Mo2 Mo 0.000 0.000 0.500 1
Mo3 Mo 0.500 0.000 0.000 1
In1 In 0.500 0.500 0.500 1
```

# 2
A geometry-optimized Nd11Cd9Ag4 structure. Source: the Alexandria database, functional PBE.

VASP energy   -3.301 eV per atom
Formation enthalpy at 0 K   -7.1 eV/f.u.
DOS(E_F)   0.9984 states/eV/atom

```
data_Nd11Cd9Ag4
_symmetry_space_group_name_H-M 'P 1'
_symmetry_Int_Tables_number 1
_cell_length_a 3.801
_cell_length_b 13.698
_cell_length_c 13.698
_cell_angle_alpha 112.77
_cell_angle_beta 90.00
_cell_angle_gamma 90.00
loop_
_symmetry_equiv_pos_as_xyz
'x,y,z'
loop_
_atom_site_label
_atom_site_type_symbol
_atom_site_fract_x
_atom_site_fract_y
_atom_site_fract_z
_atom_site_occupancy
Cd1 Cd 0.500 0.934 0.787 1
Nd1 Nd 0.000 0.411 0.061 1
Nd2 Nd 0.000 0.061 0.411 1
Cd2 Cd 0.500 0.787 0.934 1
Ag1 Ag 0.500 0.750 0.553 1
Cd3 Cd 0.500 0.368 0.840 1
Ag2 Ag 0.500 0.250 0.447 1
Nd3 Nd 0.000 0.366 0.634 1
Ag3 Ag 0.500 0.447 0.250 1
Cd4 Cd 0.500 0.213 0.066 1
Cd5 Cd 0.500 0.840 0.368 1
Cd6 Cd 0.500 0.632 0.160 1
Nd4 Nd 0.000 0.713 0.713 1
Ag4 Ag 0.500 0.553 0.750 1
Nd5 Nd 0.000 0.939 0.589 1
Cd7 Cd 0.500 0.066 0.213 1
Nd6 Nd 0.000 0.165 0.835 1
Nd7 Nd 0.000 0.634 0.366 1
Cd8 Cd 0.500 0.160 0.632 1
Nd8 Nd 0.000 0.287 0.287 1
Nd9 Nd 0.000 0.000 0.000 1
Nd10 Nd 0.000 0.589 0.939 1
Cd9 Cd 0.500 0.500 0.500 1
Nd11 Nd 0.000 0.835 0.165 1
```

# 3
A geometry-optimized PrMgAgHg structure. Source: the Alexandria database, functional PBE.

VASP energy   -2.768 eV per atom
Formation enthalpy at 0 K   -1.5 eV/f.u.
DOS(E_F)   0.6599 states/eV/atom

```
data_PrMgAgHg
_symmetry_space_group_name_H-M 'P 1'
_symmetry_Int_Tables_number 1
_cell_length_a 5.141
_cell_length_b 5.141
_cell_length_c 5.141
_cell_angle_alpha 60.00
_cell_angle_beta 60.00
_cell_angle_gamma 60.00
loop_
_symmetry_equiv_pos_as_xyz
'x,y,z'
loop_
_atom_site_label
_atom_site_type_symbol
_atom_site_fract_x
_atom_site_fract_y
_atom_site_fract_z
_atom_site_occupancy
Ag1 Ag 0.250 0.250 0.250 1
Mg1 Mg 0.500 0.500 0.500 1
Pr1 Pr 0.000 0.000 0.000 1
Hg1 Hg 0.750 0.750 0.750 1
```

# 4
A geometry-optimized SnIrO2F structure. Source: the Alexandria database, functional PBE.

VASP energy   -5.063 eV per atom
DOS(E_F)   0.7688 states/eV/atom
Uncorrected formation energy   -0.66 eV per formula unit

```
data_SnIrO2F
_symmetry_space_group_name_H-M 'P 1'
_symmetry_Int_Tables_number 1
_cell_length_a 4.103
_cell_length_b 4.103
_cell_length_c 4.126
_cell_angle_alpha 90.00
_cell_angle_beta 90.00
_cell_angle_gamma 90.00
loop_
_symmetry_equiv_pos_as_xyz
'x,y,z'
loop_
_atom_site_label
_atom_site_type_symbol
_atom_site_fract_x
_atom_site_fract_y
_atom_site_fract_z
_atom_site_occupancy
O1 O 0.000 0.500 0.000 1
F1 F 0.000 0.000 0.500 1
O2 O 0.500 0.000 0.000 1
Sn1 Sn 0.000 0.000 0.000 1
Ir1 Ir 0.500 0.500 0.500 1
```

# 5
A geometry-optimized LaDy2ErSe4 structure. Source: the Alexandria database, functional PBE.

VASP energy   -5.865 eV per atom
DOS(E_F)   0.6069 states/eV/atom
Uncorrected formation energy   -14.29 eV per formula unit

```
data_LaDy2ErSe4
_symmetry_space_group_name_H-M 'P 1'
_symmetry_Int_Tables_number 1
_cell_length_a 4.068
_cell_length_b 7.119
_cell_length_c 7.253
_cell_angle_alpha 71.26
_cell_angle_beta 90.00
_cell_angle_gamma 90.00
loop_
_symmetry_equiv_pos_as_xyz
'x,y,z'
loop_
_atom_site_label
_atom_site_type_symbol
_atom_site_fract_x
_atom_site_fract_y
_atom_site_fract_z
_atom_site_occupancy
Dy1 Dy 0.500 0.000 0.500 1
Se1 Se 0.500 0.247 0.741 1
Se2 Se 0.500 0.753 0.259 1
La1 La 0.500 0.500 0.000 1
Er1 Er 0.000 0.500 0.500 1
Se3 Se 0.000 0.239 0.264 1
Dy2 Dy 0.000 0.000 0.000 1
Se4 Se 0.000 0.761 0.736 1
```

# 6
A geometry-optimized Tb2SmY4Sc structure. Source: the Alexandria database, functional PBE.

VASP energy   -5.736 eV per atom
Formation enthalpy at 0 K   0.3 eV/f.u.
DOS(E_F)   1.5539 states/eV/atom

```
data_Tb2SmY4Sc
_symmetry_space_group_name_H-M 'P 1'
_symmetry_Int_Tables_number 1
_cell_length_a 4.996
_cell_length_b 5.003
_cell_length_c 11.201
_cell_angle_alpha 63.48
_cell_angle_beta 90.00
_cell_angle_gamma 90.00
loop_
_symmetry_equiv_pos_as_xyz
'x,y,z'
loop_
_atom_site_label
_atom_site_type_symbol
_atom_site_fract_x
_atom_site_fract_y
_atom_site_fract_z
_atom_site_occupancy
Y1 Y 0.000 0.244 0.256 1
Sm1 Sm 0.500 0.500 0.000 1
Tb1 Tb 0.000 0.000 0.000 1
Y2 Y 0.500 0.256 0.744 1
Y3 Y 0.000 0.756 0.744 1
Tb2 Tb 0.500 0.000 0.500 1
Y4 Y 0.500 0.744 0.256 1
Sc1 Sc 0.000 0.500 0.500 1
```

# 7
A geometry-optimized Tb2ErTm3As6 structure. Source: the Alexandria database, functional PBE.

VASP energy   -6.113 eV per atom
Formation enthalpy at 0 K   -18.2 eV/f.u.
DOS(E_F)   0.1530 states/eV/atom

```
data_Tb2ErTm3As6
_symmetry_space_group_name_H-M 'P 1'
_symmetry_Int_Tables_number 1
_cell_length_a 4.092
_cell_length_b 8.181
_cell_length_c 9.147
_cell_angle_alpha 102.89
_cell_angle_beta 102.93
_cell_angle_gamma 90.00
loop_
_symmetry_equiv_pos_as_xyz
'x,y,z'
loop_
_atom_site_label
_atom_site_type_symbol
_atom_site_fract_x
_atom_site_fract_y
_atom_site_fract_z
_atom_site_occupancy
Tb1 Tb 0.166 0.333 0.333 1
Tb2 Tb 0.834 0.667 0.667 1
As1 As 0.001 0.750 0.002 1
As2 As 0.334 0.414 0.669 1
As3 As 0.666 0.586 0.331 1
Tm1 Tm 0.167 0.833 0.334 1
Tm2 Tm 0.500 0.500 0.000 1
As4 As 0.999 0.250 0.998 1
Tm3 Tm 0.833 0.167 0.666 1
Er1 Er 0.500 0.000 0.000 1
As5 As 0.333 0.920 0.666 1
As6 As 0.667 0.080 0.334 1
```

# 8
A geometry-optimized TmHfNi4 structure. Source: the Alexandria database, functional PBE.

VASP energy   -6.722 eV per atom
Formation enthalpy at 0 K   -2.8 eV/f.u.
DOS(E_F)   0.5851 states/eV/atom

```
data_TmHfNi4
_symmetry_space_group_name_H-M 'P 1'
_symmetry_Int_Tables_number 1
_cell_length_a 4.959
_cell_length_b 4.959
_cell_length_c 4.959
_cell_angle_alpha 60.00
_cell_angle_beta 60.00
_cell_angle_gamma 60.00
loop_
_symmetry_equiv_pos_as_xyz
'x,y,z'
loop_
_atom_site_label
_atom_site_type_symbol
_atom_site_fract_x
_atom_site_fract_y
_atom_site_fract_z
_atom_site_occupancy
Ni1 Ni 0.124 0.625 0.625 1
Ni2 Ni 0.625 0.625 0.124 1
Hf1 Hf 0.000 0.000 0.000 1
Ni3 Ni 0.625 0.124 0.625 1
Tm1 Tm 0.250 0.250 0.250 1
Ni4 Ni 0.625 0.625 0.625 1
```

# 9
A geometry-optimized Pa2ReRh structure. Source: the Alexandria database, functional PBE.

VASP energy   -9.998 eV per atom
Formation enthalpy at 0 K   -1.2 eV/f.u.
DOS(E_F)   1.3063 states/eV/atom

```
data_Pa2ReRh
_symmetry_space_group_name_H-M 'P 1'
_symmetry_Int_Tables_number 1
_cell_length_a 3.388
_cell_length_b 3.388
_cell_length_c 7.139
_cell_angle_alpha 90.00
_cell_angle_beta 90.00
_cell_angle_gamma 90.00
loop_
_symmetry_equiv_pos_as_xyz
'x,y,z'
loop_
_atom_site_label
_atom_site_type_symbol
_atom_site_fract_x
_atom_site_fract_y
_atom_site_fract_z
_atom_site_occupancy
Rh1 Rh 0.500 0.500 0.000 1
Re1 Re 0.500 0.500 0.500 1
Pa1 Pa 0.000 0.000 0.252 1
Pa2 Pa 0.000 0.000 0.748 1
```

# 10
A geometry-optimized SrCuTe2 structure. Source: the Alexandria database, functional PBE.

VASP energy   -3.733 eV per atom
DOS(E_F)   0.7187 states/eV/atom
Uncorrected formation energy   -2.87 eV per formula unit

```
data_SrCuTe2
_symmetry_space_group_name_H-M 'P 1'
_symmetry_Int_Tables_number 1
_cell_length_a 4.435
_cell_length_b 4.643
_cell_length_c 6.644
_cell_angle_alpha 72.25
_cell_angle_beta 90.00
_cell_angle_gamma 90.00
loop_
_symmetry_equiv_pos_as_xyz
'x,y,z'
loop_
_atom_site_label
_atom_site_type_symbol
_atom_site_fract_x
_atom_site_fract_y
_atom_site_fract_z
_atom_site_occupancy
Sr1 Sr 0.500 0.704 0.757 1
Te1 Te 0.000 0.147 0.908 1
Cu1 Cu 0.000 0.306 0.511 1
Te2 Te 0.500 0.343 0.324 1
```